(1)
Below is crystalline Dy2GaSi at its relaxed geometry, with properties calculated at the GGA-PBE level.

## Properties
For the total energy, the calculation gives -5.165 eV per atom. The size of the total moment is 0.04 μB/cell.

Cell: 5.7747 3.9492 8.3893 Å, 90.00 107.73 90.00°
Element x y z (fractional)
Dy  0.7847  0.7500  0.0680
Dy  0.7051  0.2500  0.4268
Dy  0.2949  0.7500  0.5732
Dy  0.2153  0.2500  0.9320
Ga  0.1346  0.2500  0.2885
Ga  0.8654  0.7500  0.7115
Si  0.3611  0.7500  0.2110
Si  0.6389  0.2500  0.7890

---

(2)
Below is crystalline TbDyGa3Si2 at its relaxed geometry, with properties calculated at the GGA-PBE level.

## Properties
For the total energy, the calculation gives -4.720 eV per atom. The size of the total moment is 0.00 μB/cell.

Cell: 5.5315 5.5315 6.6096 Å, 100.43 100.43 43.14°
Element x y z (fractional)
Dy  0.6190  0.6190  0.8155
Ga  0.6961  0.6961  0.3600
Ga  0.0004  0.0004  0.5005
Ga  0.3038  0.3038  0.6407
Si  0.0934  0.0934  0.1325
Si  0.9064  0.9064  0.8663
Tb  0.3809  0.3809  0.1845